# RbSrAcCl6

An optimized crystal structure of RbSrAcCl6 (PBE-GGA, Alexandria via LeMat-Bulk).

abc: 7.7335 7.7335 13.6933
angles: 90.00 90.00 120.00
Fractional coordinates of all 18 atoms:
Rb  0.0000  0.0000  0.0000
Rb  0.0000  0.0000  0.5000
Sr  0.3333  0.6667  0.2500
Sr  0.6667  0.3333  0.7500
Ac  0.3333  0.6667  0.7500
Ac  0.6667  0.3333  0.2500
Cl  0.0022  0.3672  0.6366
Cl  0.0022  0.6350  0.8634
Cl  0.3650  0.3672  0.8634
Cl  0.3650  0.9978  0.6366
Cl  0.3672  0.0022  0.1366
Cl  0.3672  0.3650  0.3634
Cl  0.6328  0.6350  0.6366
Cl  0.6328  0.9978  0.8634
Cl  0.6350  0.0022  0.3634
Cl  0.6350  0.6328  0.1366
Cl  0.9978  0.3650  0.1366
Cl  0.9978  0.6328  0.3634

Space group: No. 163
DOS(E_F) in states/eV per atom: 0.0000
Electronic total energy in eV/atom: -4.329